# 1
## CaYMg2 (PBE)

Data for a relaxed structure of CaYMg2.

```
CaYMg2
1.0
6.142 -1.747 0.000
6.142 1.747 0.000
-1.936 0.000 5.485
Ca Y Mg
1 1 2
Cartesian
0.000 0.000 0.000
8.994 0.000 1.944
1.409 0.000 4.568
5.590 0.000 2.862
```

Summary:
Its electronic total energy is -2.93 eV/atom.


# 2
## Ca2YMg (PBE)

Data for a relaxed structure of Ca2YMg.

```
Ca2YMg
1.0
-2.522 2.522 5.309
2.522 -2.522 5.309
2.522 2.522 -5.309
Ca Y Mg
2 1 1
Cartesian
2.522 0.000 2.655
0.000 2.522 2.655
0.000 0.000 0.000
0.000 0.000 5.309
```

Summary:
Its electronic total energy is -2.92 eV/atom.


# 3
## Ca2MgZn2 (PBE)

Data for a relaxed structure of Ca2MgZn2.

```
Ca2MgZn2
1.0
4.641 -3.715 0.000
4.641 3.715 0.000
0.000 0.000 7.783
Ca Mg Zn
4 2 4
Cartesian
1.848 0.000 0.000
1.848 0.000 3.891
7.434 0.000 0.000
7.434 0.000 3.891
4.641 1.369 5.837
4.641 -1.369 1.946
4.641 1.250 0.735
4.641 1.250 3.156
4.641 -1.250 4.627
4.641 -1.250 7.047
```

Summary:
Its electronic total energy is -1.75 eV/atom.


# 4
## Ca12MgZn6 (PBE)

Data for a relaxed structure of Ca12MgZn6.

```
Ca12MgZn6
1.0
-5.301 5.301 5.301
5.301 -5.301 5.301
5.301 5.301 -5.301
Ca Mg Zn
12 1 6
Cartesian
5.301 3.333 -2.188
3.113 0.000 1.968
7.488 0.000 1.968
1.968 3.113 0.000
3.333 -2.188 5.301
0.000 1.968 3.113
5.301 3.333 2.188
1.968 7.488 0.000
3.333 2.188 5.301
-2.188 5.301 3.333
2.188 5.301 3.333
0.000 1.968 7.488
0.000 0.000 0.000
5.301 1.283 0.000
5.301 0.000 4.018
4.018 5.301 0.000
1.283 0.000 5.301
0.000 5.301 1.283
0.000 4.018 5.301
```

Summary:
Its electronic total energy is -1.90 eV/atom.


# 5
## CaMgZn (PBE)

Data for a relaxed structure of CaMgZn.

```
CaMgZn
1.0
7.116 0.000 0.000
0.000 6.290 0.000
-5.457 0.000 7.025
Ca Mg Zn
4 4 4
Cartesian
-0.064 0.759 1.959
-2.792 2.386 5.471
4.452 3.904 1.554
1.723 5.531 5.066
0.893 3.870 1.105
-1.836 5.566 4.617
3.495 0.724 2.408
0.767 2.421 5.920
-0.376 3.541 3.581
2.352 5.895 0.068
-0.693 0.396 6.957
2.036 2.749 3.444
```

Summary:
Its electronic total energy is -1.75 eV/atom.


# 6
## CaMg3Zn8 (PBE)

Data for a relaxed structure of CaMg3Zn8.

```
CaMg3Zn8
1.0
2.655 1.533 8.674
-2.655 1.533 8.674
0.000 -3.066 8.674
Ca Mg Zn
1 3 8
Cartesian
0.000 0.000 0.000
0.000 0.000 3.290
0.000 0.000 12.982
0.000 0.000 16.171
0.000 -1.522 5.892
-1.318 0.761 5.892
-1.317 -0.760 10.355
0.000 0.000 8.119
1.318 0.761 5.892
1.317 -0.760 10.355
0.000 1.520 10.355
0.000 0.000 21.134
```

Summary:
As for the offset from the most stable computed form: 0.05 eV/f.u.


# 7
## CaMgZn (PBE)

Data for a relaxed structure of CaMgZn.

```
CaMgZn
1.0
6.736 0.000 0.000
0.000 5.891 0.000
-3.006 0.000 7.628
Ca Mg Zn
4 4 4
Cartesian
0.036 0.651 2.829
-1.468 2.294 6.643
5.198 3.596 0.985
3.695 5.240 4.799
1.910 3.574 2.293
0.407 5.262 6.107
3.323 0.628 1.521
1.820 2.317 5.335
-0.362 3.573 3.995
1.141 5.263 0.181
2.589 0.627 7.447
4.092 2.318 3.633
```

Summary:
Its electronic total energy is -1.82 eV/atom.


# 8
## Ca8Mg4Zn (PBE)

Data for a relaxed structure of Ca8Mg4Zn.

```
Ca8Mg4Zn
1.0
-8.019 8.019 1.791
8.019 -8.019 1.791
8.019 8.019 -1.791
Ca Mg Zn
8 4 1
Cartesian
5.404 0.622 0.000
5.605 4.262 0.000
7.396 -2.615 1.791
3.756 -2.414 1.791
4.262 10.433 0.000
0.622 10.633 0.000
2.414 3.756 1.791
2.615 7.396 1.791
8.489 5.796 0.000
5.796 7.548 0.000
2.222 0.471 1.791
-0.471 2.222 1.791
0.000 0.000 0.000
```

Summary:
As for the offset from the most stable computed form: 0.28 eV/f.u.


# 9
## CaMgZn2 (PBE)

Data for a relaxed structure of CaMgZn2.

```
CaMgZn2
1.0
1.721 -13.101 0.000
1.721 13.101 0.000
0.000 0.000 4.144
Ca Mg Zn
2 2 4
Cartesian
1.721 9.131 3.108
1.721 -9.131 1.036
1.721 1.697 3.108
1.721 -1.697 1.036
1.721 12.263 3.108
1.721 6.672 1.036
1.721 -6.672 3.108
1.721 -12.263 1.036
```

Summary:
Its electronic total energy is -1.59 eV/atom.


# 10
## Ca3Mg8Zn3 (PBE)

Data for a relaxed structure of Ca3Mg8Zn3.

```
Ca3Mg8Zn3
1.0
-2.490 5.337 6.482
2.490 -5.337 6.482
2.490 5.337 -6.482
Ca Mg Zn
3 8 3
Cartesian
0.000 0.000 0.000
0.000 0.000 3.750
0.000 0.000 9.214
2.490 1.537 -1.734
2.490 -2.201 4.825
2.490 1.537 1.734
0.000 3.135 1.657
2.490 2.201 4.825
0.000 3.800 4.748
0.000 7.538 1.657
0.000 3.800 8.216
2.490 3.829 0.000
0.000 5.337 0.000
0.000 1.508 6.482
```

Summary:
Its electronic total energy is -1.68 eV/atom.


# 11
## Ca3MgZn3 (PBE)

Data for a relaxed structure of Ca3MgZn3.

```
Ca3MgZn3
1.0
5.932 -2.231 0.000
5.932 2.231 0.000
-5.083 0.000 13.826
Ca Mg Zn
6 2 6
Cartesian
-1.749 0.000 5.151
-3.378 0.000 12.787
1.707 0.000 3.113
5.073 0.000 10.714
10.158 0.000 1.039
8.529 0.000 8.675
0.104 0.000 8.130
6.676 0.000 5.696
2.266 0.000 6.295
0.057 0.000 12.787
1.593 0.000 10.668
5.187 0.000 3.158
6.724 0.000 1.039
4.514 0.000 7.531
```

Summary:
As for the offset from the most stable computed form: 0.00 eV/f.u.


# 12
## CaMg2Zn (PBE)

Data for a relaxed structure of CaMg2Zn.

```
CaMg2Zn
1.0
-2.183 2.183 11.118
2.183 -2.183 11.118
2.183 2.183 -11.118
Ca Mg Zn
2 4 2
Cartesian
0.000 0.000 0.000
0.000 2.183 5.559
1.092 -0.991 8.338
1.192 1.092 2.779
1.092 3.174 -2.779
0.991 1.092 13.897
2.183 0.000 5.559
0.000 0.000 11.118
```

Summary:
Its electronic total energy is -1.51 eV/atom.


# 13
## Ca4MgZn2 (PBE)

Data for a relaxed structure of Ca4MgZn2.

```
Ca4MgZn2
1.0
2.654 1.532 9.213
-2.654 1.532 9.213
0.000 -3.064 9.213
Ca Mg Zn
4 1 2
Cartesian
0.000 0.000 3.227
0.000 0.000 8.077
0.000 0.000 19.563
0.000 0.000 24.414
0.000 0.000 13.820
0.000 0.000 11.190
0.000 0.000 16.451
```

Summary:
As for the offset from the most stable computed form: 0.51 eV/f.u.


# 14
## Ca2MgZn2 (PBE)

Data for a relaxed structure of Ca2MgZn2.

```
Ca2MgZn2
1.0
3.603 -4.705 0.000
3.603 4.705 0.000
0.000 0.000 9.538
Ca Mg Zn
4 2 4
Cartesian
3.603 2.820 5.250
3.603 2.820 9.057
3.603 -2.820 0.481
3.603 -2.820 4.288
3.603 0.669 2.385
3.603 -0.669 7.154
2.323 0.000 0.000
2.323 0.000 4.769
4.883 0.000 0.000
4.883 0.000 4.769
```

Summary:
Its electronic total energy is -1.53 eV/atom.


# 15
## Ca2MgZn (PBE)

Data for a relaxed structure of Ca2MgZn.

```
Ca2MgZn
1.0
1.809 -11.545 0.000
1.809 11.545 0.000
0.000 0.000 5.800
Ca Mg Zn
4 2 2
Cartesian
1.809 10.466 4.350
1.809 6.598 1.450
1.809 -6.598 4.350
1.809 -10.466 1.450
1.809 1.950 4.350
1.809 -1.950 1.450
1.809 7.486 4.350
1.809 -7.486 1.450
```

Summary:
As for the offset from the most stable computed form: 0.75 eV/f.u.


# 16
## CaMg4Zn2 (PBE)

Data for a relaxed structure of CaMg4Zn2.

```
CaMg4Zn2
1.0
2.398 1.384 7.894
-2.398 1.384 7.894
0.000 -2.769 7.894
Ca Mg Zn
1 4 2
Cartesian
0.000 0.000 0.000
0.000 0.000 3.318
0.000 0.000 9.968
0.000 0.000 13.716
0.000 0.000 20.365
0.000 0.000 6.162
0.000 0.000 17.522
```

Summary:
As for the offset from the most stable computed form: 0.24 eV/f.u.


# 17
## Ca2Mg4Zn (PBE)

Data for a relaxed structure of Ca2Mg4Zn.

```
Ca2Mg4Zn
1.0
-3.491 3.491 4.471
3.491 -3.491 4.471
3.491 3.491 -4.471
Ca Mg Zn
2 4 1
Cartesian
3.491 0.000 2.236
0.000 3.491 2.236
1.529 1.529 0.000
1.962 -1.962 4.471
-1.962 1.962 4.471
1.962 1.962 4.471
0.000 0.000 4.471
```

Summary:
As for the offset from the most stable computed form: 1.98 eV/f.u.


# 18
## CaMg4Zn2 (PBE)

Data for a relaxed structure of CaMg4Zn2.

```
CaMg4Zn2
1.0
8.544 0.000 0.000
0.000 8.544 0.000
0.000 0.000 4.374
Ca Mg Zn
2 8 4
Cartesian
0.000 0.000 0.000
4.272 4.272 2.187
0.757 2.874 2.187
1.398 5.030 0.000
2.874 0.757 2.187
3.515 7.146 0.000
5.030 1.398 0.000
5.670 7.787 2.187
7.146 3.515 0.000
7.787 5.670 2.187
1.822 6.722 2.187
2.450 2.450 0.000
6.094 6.094 0.000
6.722 1.822 2.187
```

Summary:
As for the offset from the most stable computed form: 0.03 eV/f.u.


# 19
## Ca2MgZn3 (PBE)

Data for a relaxed structure of Ca2MgZn3.

```
Ca2MgZn3
1.0
2.876 1.660 4.631
-2.876 1.660 4.631
0.000 -3.321 4.631
Ca Mg Zn
2 1 3
Cartesian
0.000 0.000 1.712
0.000 0.000 12.181
0.000 0.000 6.947
-1.438 -0.830 4.631
-1.438 0.830 9.262
0.000 1.660 4.631
```

Summary:
As for the offset from the most stable computed form: 0.03 eV/f.u.


# 20
## CaMgZn (PBE)

Data for a relaxed structure of CaMgZn.

```
CaMgZn
1.0
5.319 0.000 0.000
0.000 16.655 0.000
0.000 0.000 3.686
Ca Mg Zn
4 4 4
Cartesian
1.330 0.494 0.920
1.330 7.833 0.920
3.989 8.822 2.766
3.989 16.161 2.766
1.330 10.943 2.754
1.330 14.040 2.754
3.989 2.615 0.932
3.989 5.712 0.932
1.330 2.914 2.764
1.330 5.413 2.764
3.989 11.242 0.922
3.989 13.741 0.922
```

Summary:
Its electronic total energy is -1.49 eV/atom.


# 21
## CaMgZn2 (PBE)

Data for a relaxed structure of CaMgZn2.

```
CaMgZn2
1.0
-2.180 2.180 9.715
2.180 -2.180 9.715
2.180 2.180 -9.715
Ca Mg Zn
2 2 4
Cartesian
0.000 0.000 2.197
0.000 0.000 17.233
2.180 0.000 4.857
0.000 2.180 4.857
2.180 0.000 0.000
0.000 0.000 6.822
0.000 2.180 0.000
0.000 0.000 12.608
```

Summary:
Its electronic total energy is -1.61 eV/atom.


# 22
## CaMg2Zn (PBE)

Data for a relaxed structure of CaMg2Zn.

```
CaMg2Zn
1.0
5.164 0.000 0.000
-2.582 4.472 0.000
0.000 0.000 8.422
Ca Mg Zn
2 4 2
Cartesian
0.000 0.000 2.106
0.000 0.000 6.317
0.000 2.982 0.579
0.000 2.982 3.633
2.582 1.491 4.790
2.582 1.491 7.844
0.000 2.982 6.317
2.582 1.491 2.106
```

Summary:
Its electronic total energy is -1.71 eV/atom.